No. 1
Below is a relaxed Dy5PbAu2 crystal, with properties calculated at the GGA-PBE level.

Unit cell a=8.086 b=8.086 c=13.240 alpha=90.00 beta=90.00 gamma=90.00
Space group I4/mcm (No. 140)
Inequivalent atoms, fractional coordinates:
Dy 0.000 0.000 0.000 x4
Dy 0.156 0.344 0.142 x16
Pb 0.000 0.000 0.250 x4
Au 0.136 0.364 0.500 x8

Properties
Its crystal system is tetragonal. The calculation puts the energy relative to the elements at -616 meV/atom. The total magnetization comes out at 0.00 μB per formula unit.

=====

No. 2
Below is a relaxed DyPb2Au crystal, with properties calculated at the GGA-PBE level.

Unit cell a=4.727 b=4.727 c=4.563 alpha=90.00 beta=90.00 gamma=90.00
Space group P4/mmm (No. 123)
Inequivalent atoms, fractional coordinates:
Dy 0.000 0.000 0.000 x1
Pb 0.000 0.500 0.500 x2
Au 0.500 0.500 0.000 x1

Properties
Its crystal system is tetragonal. Its distance to the lowest polymorph of the same formula is 0 meV/atom. The calculation puts the energy relative to the elements at -382 meV/atom. The total magnetization comes out at 0.00 μB per formula unit.

=====

No. 3
Below is a relaxed DyPbAu2 crystal, with properties calculated at the GGA-PBE level.

Unit cell a=4.719 b=4.719 c=4.133 alpha=90.00 beta=90.00 gamma=90.00
Space group P4/mmm (No. 123)
Inequivalent atoms, fractional coordinates:
Dy 0.000 0.000 0.000 x1
Pb 0.500 0.500 0.000 x1
Au 0.000 0.500 0.500 x2

Properties
Its crystal system is tetragonal. The calculation puts the energy relative to the elements at -503 meV/atom. The total magnetization comes out at 0.00 μB per formula unit.

=====

No. 4
Below is a relaxed Dy3Pb2Au crystal, with properties calculated at the GGA-PBE level.

Unit cell a=12.409 b=4.595 c=11.787 alpha=90.00 beta=90.00 gamma=90.00
Space group Pnma (No. 62)
Inequivalent atoms, fractional coordinates:
Dy 0.049 0.250 0.128 x4
Dy 0.131 0.750 0.558 x4
Dy 0.227 0.250 0.802 x4
Pb 0.004 0.250 0.688 x4
Pb 0.181 0.750 0.016 x4
Au 0.135 0.250 0.361 x4

Properties
Its crystal system is orthorhombic. The calculation puts the energy relative to the elements at -552 meV/atom. The total magnetization comes out at 0.00 μB per formula unit.

=====

No. 5
Below is a relaxed PrDyPbAu crystal, with properties calculated at the GGA-PBE level.

Unit cell a=7.589 b=7.589 c=7.589 alpha=90.00 beta=90.00 gamma=90.00
Space group F-43m (No. 216)
Inequivalent atoms, fractional coordinates:
Pr 0.000 0.000 0.000 x4
Dy 0.000 0.000 0.500 x4
Pb 0.250 0.250 0.250 x4
Au 0.250 0.250 0.750 x4

Properties
Its crystal system is cubic. The calculation puts the energy relative to the elements at -600 meV/atom. The total magnetization comes out at 0.85 μB per formula unit.

=====

No. 6
Below is a relaxed DyPtPbAu crystal, with properties calculated at the GGA-PBE level.

Unit cell a=7.045 b=7.045 c=7.045 alpha=90.00 beta=90.00 gamma=90.00
Space group F-43m (No. 216)
Inequivalent atoms, fractional coordinates:
Dy 0.000 0.000 0.000 x4
Pt 0.250 0.250 0.250 x4
Pb 0.000 0.000 0.500 x4
Au 0.250 0.250 0.750 x4

Properties
Its crystal system is cubic. The calculation puts the energy relative to the elements at -669 meV/atom. The total magnetization comes out at 0.00 μB per formula unit.